(1)
8
Lattice="-2.151 9.686 -2.071 -9.284 -1.233 3.875 -4.981 4.807 2.850" Properties=species:S:1:pos:R:3 comment="Na2FeTc, relaxed, DFT PBE-GGA" space_group="No. 122" dos_ef_per_ev_cell=9.57 delta_e_f_mev_per_atom=1338.4 volume_a3_per_atom=27.8 crystal_system=tetragonal rho_g_cm3=2.99 de_polymorph_mev_per_atom=0 pbc="T T T"
Na -3.469 5.834 0.174
Na -7.598 2.909 2.604
Na -9.239 6.613 3.321
Na -12.527 11.162 3.209
Tc 0.000 0.000 0.000
Tc -6.425 9.359 0.841
Fe -5.718 4.226 0.902
Fe -9.992 3.900 3.813

(2)
5
Lattice="4.332 0.000 0.000 0.000 4.332 0.000 0.000 0.000 4.332" Properties=species:S:1:pos:R:3 comment="NaFe3Tc, relaxed, DFT PBE-GGA" space_group="No. 221" dos_ef_per_ev_cell=8.65 delta_e_f_mev_per_atom=2117.2 volume_a3_per_atom=16.3 crystal_system=cubic rho_g_cm3=5.89 de_polymorph_mev_per_atom=867 pbc="T T T"
Na 0.000 0.000 0.000
Tc 2.166 2.166 2.166
Fe 0.000 2.166 0.000
Fe 0.000 0.000 2.166
Fe 2.166 0.000 0.000

(3)
5
Lattice="-3.298 -1.064 4.234 4.338 -0.209 3.327 -0.485 5.362 0.970" Properties=species:S:1:pos:R:3 comment="Na3FeTe, relaxed, DFT PBE-GGA" raw_formation_energy_ev_per_atom=0.4471 space_group="No. 221" dos_ef_per_ev_cell=6.97 volume_a3_per_atom=32.7 crystal_system=cubic rho_g_cm3=2.56 de_polymorph_mev_per_atom=153 pbc="T T T"
Na 2.169 -0.105 1.663
Na -0.242 2.681 0.485
Na -1.649 -0.532 2.117
Te 0.278 2.045 4.265
Fe 0.000 0.000 0.000

(4)
8
Lattice="7.704 0.000 0.000 0.000 7.704 0.000 3.852 3.852 2.783" Properties=species:S:1:pos:R:3 comment="NaFe2Te, relaxed, DFT PBE-GGA" raw_formation_energy_ev_per_atom=0.6922 space_group="No. 122" dos_ef_per_ev_cell=9.56 volume_a3_per_atom=20.6 crystal_system=tetragonal rho_g_cm3=5.27 pbc="T T T"
Na 3.852 3.852 0.000
Na 3.852 7.704 1.391
Te 0.000 0.000 0.000
Te 7.704 3.852 1.391
Fe 6.086 1.926 0.696
Fe 1.619 5.778 0.696
Fe 5.778 5.471 2.087
Fe 9.630 9.938 2.087

(5)
5
Lattice="-5.233 1.117 -1.032 -0.684 -5.032 -1.977 -1.358 -1.769 4.972" Properties=species:S:1:pos:R:3 comment="NaFeTe3, relaxed, DFT PBE-GGA" raw_formation_energy_ev_per_atom=1.0587 space_group="No. 221" dos_ef_per_ev_cell=17.85 volume_a3_per_atom=32.4 crystal_system=cubic rho_g_cm3=4.74 de_polymorph_mev_per_atom=925 pbc="T T T"
Na 0.000 0.000 0.000
Te -0.342 -2.516 -0.989
Te -0.679 -0.885 2.486
Te -2.616 0.558 -0.516
Fe -3.637 -2.842 0.981

(6)
5
Lattice="-0.625 0.171 -5.117 -5.067 -0.761 0.593 -0.735 5.098 0.260" Properties=species:S:1:pos:R:3 comment="NaFeTe3, relaxed, DFT PBE-GGA" raw_formation_energy_ev_per_atom=0.1337 space_group="No. 221" dos_ef_per_ev_cell=7.85 volume_a3_per_atom=27.4 crystal_system=cubic rho_g_cm3=5.59 de_polymorph_mev_per_atom=0 pbc="T T T"
Na -3.214 2.254 -2.132
Te -2.533 -0.381 0.297
Te -0.368 2.549 0.130
Te -0.313 0.086 -2.558
Fe 0.000 0.000 0.000

(7)
5
Lattice="5.852 0.000 0.000 0.000 5.852 0.000 0.000 0.000 5.852" Properties=species:S:1:pos:R:3 comment="Na3FeTe, relaxed, DFT PBE-GGA" raw_formation_energy_ev_per_atom=0.2943 space_group="No. 221" dos_ef_per_ev_cell=1.18 volume_a3_per_atom=40.1 crystal_system=cubic rho_g_cm3=2.09 de_polymorph_mev_per_atom=0 pbc="T T T"
Na 0.000 2.926 0.000
Na 0.000 0.000 2.926
Na 2.926 0.000 0.000
Te 0.000 0.000 0.000
Fe 2.926 2.926 2.926

(8)
10
Lattice="7.508 0.000 0.000 0.000 7.508 0.000 0.000 0.000 4.761" Properties=species:S:1:pos:R:3 comment="Na2FeTe2, relaxed, DFT PBE-GGA" raw_formation_energy_ev_per_atom=-0.2505 space_group="No. 127" dos_ef_per_ev_cell=7.28 volume_a3_per_atom=26.8 crystal_system=tetragonal rho_g_cm3=4.42 pbc="T T T"
Na 1.089 4.843 2.380
Na 4.843 6.419 2.380
Na 6.419 2.665 2.380
Na 2.665 1.089 2.380
Te 2.440 6.194 0.000
Te 6.194 5.068 0.000
Te 5.068 1.314 0.000
Te 1.314 2.440 0.000
Fe 0.000 0.000 0.000
Fe 3.754 3.754 0.000

(9)
6
Lattice="1.952 -3.380 0.000 1.952 3.380 0.000 0.000 0.000 13.129" Properties=species:S:1:pos:R:3 comment="NaThFe, relaxed, DFT PBE-GGA" space_group="No. 164" dos_ef_per_ev_cell=7.12 delta_e_f_mev_per_atom=36.3 volume_a3_per_atom=28.9 crystal_system=trigonal rho_g_cm3=5.96 pbc="T T T"
Na 1.952 -1.127 5.055
Na 1.952 1.127 8.074
Th 0.000 0.000 1.877
Th 0.000 0.000 11.252
Fe 1.952 -1.127 13.121
Fe 1.952 1.127 0.008

(10)
4
Lattice="0.000 3.483 3.483 3.483 0.000 3.483 3.483 3.483 0.000" Properties=species:S:1:pos:R:3 comment="Na2TiFe, relaxed, DFT PBE-GGA" space_group="No. 225" dos_ef_per_ev_cell=5.00 delta_e_f_mev_per_atom=1110.4 volume_a3_per_atom=21.1 crystal_system=cubic rho_g_cm3=2.94 de_polymorph_mev_per_atom=98 pbc="T T T"
Na 1.741 1.741 1.741
Na 5.224 5.224 5.224
Fe 3.483 3.483 3.483
Ti 0.000 0.000 0.000

(11)
8
Lattice="10.241 0.000 0.000 0.000 10.241 0.000 5.120 5.120 2.102" Properties=species:S:1:pos:R:3 comment="Na2TiFe, relaxed, DFT PBE-GGA" space_group="No. 122" dos_ef_per_ev_cell=6.49 delta_e_f_mev_per_atom=1012.9 volume_a3_per_atom=27.6 crystal_system=tetragonal rho_g_cm3=2.26 de_polymorph_mev_per_atom=0 pbc="T T T"
Na 8.980 2.560 0.525
Na 11.502 7.681 0.525
Na 7.681 6.381 1.576
Na 12.801 3.859 1.576
Fe 0.000 0.000 0.000
Fe 10.241 5.120 1.051
Ti 5.120 5.120 0.000
Ti 5.120 10.241 1.051

(12)
8
Lattice="-2.541 0.916 -2.719 -2.861 -1.097 2.303 -3.235 8.238 3.097" Properties=species:S:1:pos:R:3 comment="NaTiFe2, relaxed, DFT PBE-GGA" space_group="No. 122" dos_ef_per_ev_cell=8.03 delta_e_f_mev_per_atom=943.2 volume_a3_per_atom=16.5 crystal_system=tetragonal rho_g_cm3=4.60 de_polymorph_mev_per_atom=323 pbc="T T T"
Na -2.701 -0.091 -0.208
Na -4.398 3.525 2.596
Fe -1.356 1.991 0.859
Fe -4.313 1.993 0.377
Fe -6.026 5.507 3.434
Fe -5.578 6.624 0.691
Ti 0.000 0.000 0.000
Ti -4.238 4.532 0.085

(13)
4
Lattice="0.000 3.126 3.126 3.126 0.000 3.126 3.126 3.126 0.000" Properties=species:S:1:pos:R:3 comment="NaTiFe2, relaxed, DFT PBE-GGA" space_group="No. 225" dos_ef_per_ev_cell=3.21 delta_e_f_mev_per_atom=619.9 volume_a3_per_atom=15.3 crystal_system=cubic rho_g_cm3=4.96 de_polymorph_mev_per_atom=0 pbc="T T T"
Na 0.000 0.000 0.000
Fe 1.563 1.563 1.563
Fe 4.689 4.689 4.689
Ti 3.126 3.126 3.126

(14)
10
Lattice="7.283 0.000 0.000 0.000 7.283 0.000 0.000 0.000 2.873" Properties=species:S:1:pos:R:3 comment="NaTi2Fe2, relaxed, DFT PBE-GGA" space_group="No. 127" dos_ef_per_ev_cell=14.68 delta_e_f_mev_per_atom=221.6 volume_a3_per_atom=15.2 crystal_system=tetragonal rho_g_cm3=5.02 pbc="T T T"
Na 0.000 0.000 0.000
Na 3.641 3.641 0.000
Fe 2.646 6.288 0.000
Fe 6.288 4.637 0.000
Fe 4.637 0.995 0.000
Fe 0.995 2.646 0.000
Ti 1.033 4.674 1.436
Ti 4.674 6.250 1.436
Ti 6.250 2.609 1.436
Ti 2.609 1.033 1.436

(15)
5
Lattice="-3.925 -3.873 -0.331 0.403 -0.873 5.440 -3.866 3.841 0.903" Properties=species:S:1:pos:R:3 comment="Na3TlFe, relaxed, DFT PBE-GGA" space_group="No. 221" dos_ef_per_ev_cell=15.01 delta_e_f_mev_per_atom=757.8 volume_a3_per_atom=33.7 crystal_system=cubic rho_g_cm3=3.24 de_polymorph_mev_per_atom=0 pbc="T T T"
Na 0.202 -0.437 2.720
Na -1.933 1.920 0.452
Na -1.963 -1.936 -0.165
Tl -3.694 -0.453 3.006
Fe 0.000 0.000 0.000

(16)
8
Lattice="7.629 0.000 0.000 0.000 7.629 0.000 3.815 3.815 2.712" Properties=species:S:1:pos:R:3 comment="NaTlFe2, relaxed, DFT PBE-GGA" space_group="No. 122" dos_ef_per_ev_cell=9.44 delta_e_f_mev_per_atom=957.7 volume_a3_per_atom=19.7 crystal_system=tetragonal rho_g_cm3=7.13 pbc="T T T"
Na 3.815 3.815 0.000
Na 3.815 7.629 1.356
Tl 0.000 0.000 0.000
Tl 7.629 3.815 1.356
Fe 5.829 1.907 0.678
Fe 1.800 5.722 0.678
Fe 5.722 5.615 2.034
Fe 9.537 9.644 2.034

(17)
8
Lattice="8.470 0.000 0.000 0.000 8.470 0.000 4.235 4.235 2.773" Properties=species:S:1:pos:R:3 comment="Na2TlFe, relaxed, DFT PBE-GGA" space_group="No. 122" dos_ef_per_ev_cell=6.35 delta_e_f_mev_per_atom=608.4 volume_a3_per_atom=24.9 crystal_system=tetragonal rho_g_cm3=5.11 de_polymorph_mev_per_atom=0 pbc="T T T"
Na 6.174 2.117 0.693
Na 2.296 6.352 0.693
Na 6.352 6.531 2.079
Na 10.587 10.409 2.079
Tl 0.000 0.000 0.000
Tl 8.470 4.235 1.386
Fe 4.235 4.235 0.000
Fe 4.235 8.470 1.386

(18)
5
Lattice="-1.704 -0.844 -4.142 3.374 -2.961 -0.784 -2.546 -3.360 1.732" Properties=species:S:1:pos:R:3 comment="NaTlFe3, relaxed, DFT PBE-GGA" space_group="No. 221" dos_ef_per_ev_cell=3.63 delta_e_f_mev_per_atom=1699.8 volume_a3_per_atom=18.9 crystal_system=cubic rho_g_cm3=6.93 de_polymorph_mev_per_atom=217 pbc="T T T"
Na 0.000 0.000 0.000
Tl -0.438 -3.582 -1.597
Fe 1.687 -1.481 -0.392
Fe -1.273 -1.680 0.866
Fe -0.852 -0.422 -2.071

(19)
4
Lattice="0.000 3.629 3.629 3.629 0.000 3.629 3.629 3.629 0.000" Properties=species:S:1:pos:R:3 comment="Na2TlFe, relaxed, DFT PBE-GGA" space_group="No. 225" dos_ef_per_ev_cell=13.80 delta_e_f_mev_per_atom=610.4 volume_a3_per_atom=23.9 crystal_system=cubic rho_g_cm3=5.32 de_polymorph_mev_per_atom=2 pbc="T T T"
Na 1.815 1.815 1.815
Na 5.444 5.444 5.444
Tl 3.629 3.629 3.629
Fe 0.000 0.000 0.000

(20)
5
Lattice="5.026 0.000 0.000 0.000 5.026 0.000 0.000 0.000 5.026" Properties=species:S:1:pos:R:3 comment="NaTlFe3, relaxed, DFT PBE-GGA" space_group="No. 221" dos_ef_per_ev_cell=15.16 delta_e_f_mev_per_atom=1482.7 volume_a3_per_atom=25.4 crystal_system=cubic rho_g_cm3=5.16 de_polymorph_mev_per_atom=0 pbc="T T T"
Na 2.513 2.513 2.513
Tl 0.000 0.000 0.000
Fe 0.000 2.513 0.000
Fe 0.000 0.000 2.513
Fe 2.513 0.000 0.000